Here is AcGdDySc after structural relaxation from Alexandria. Energies are from GGA-PBE.

- formation energy from the elements (eV per formula unit) = 0.5
- D(E_F) (states/eV/f.u.) = 6.338
- ρ (Mg/m³) = 7.44
- SG = F-43m, No. 216

a = 5.7155 Å, b = 5.7155 Å, c = 5.7155 Å
α = 60.00°, β = 60.00°, γ = 60.00°
With the nearest neighbours (Å) after each atom.
Fractional positions:
Ac: 0.0000 0.0000 0.0000  4 Dy 3.50, 4 Sc 3.50
Gd: 0.5000 0.5000 0.5000  4 Dy 3.50, 4 Sc 3.50
Dy: 0.7500 0.7500 0.7500  4 Gd 3.50, 4 Ac 3.50
Sc: 0.2500 0.2500 0.2500  4 Gd 3.50, 4 Ac 3.50